1.
## CaAc2 (GGA-PBE)

Data for a geometry-optimized CaAc2 structure.

```
CaAc2
1.0
14.558 0.000 0.000
0.000 4.017 0.000
-2.427 0.000 9.103
Ca Ac
4 8
direct
0.141 0.000 0.028
0.359 0.500 0.972
0.641 0.500 0.028
0.859 0.000 0.972
0.027 0.500 0.306
0.194 0.000 0.635
0.306 0.500 0.365
0.473 0.000 0.694
0.527 0.000 0.306
0.694 0.500 0.635
0.806 0.000 0.365
0.973 0.500 0.694
```

Total moment in Bohr magnetons per cell: 0.0
Theoretical density in g/cm3: 6.16
Offset from the most stable computed form in kJ/mol of atoms: 1.47
Symmetry: C2/m, No. 12
Calculated formation energy in eV per atom: 0.02
V in Å³/f.u.: 133
Final energy in eV/atom: -3.382

---

2.
## AlFe2B2 (GGA-PBE)

Data for a geometry-optimized AlFe2B2 structure.

```
AlFe2B2
1.0
2.912 0.000 0.000
0.000 11.012 0.000
0.000 0.000 2.847
Al Fe B
2 4 4
direct
0.000 0.000 0.000
0.500 0.500 0.000
0.000 0.354 0.500
0.000 0.646 0.500
0.500 0.146 0.500
0.500 0.854 0.500
0.000 0.206 0.000
0.000 0.794 0.000
0.500 0.294 0.000
0.500 0.706 0.000
```

Total moment in Bohr magnetons per cell: 5.0
Theoretical density in g/cm3: 5.83
Symmetry: Cmmm, No. 65
Calculated formation energy in eV per atom: -0.39
V in Å³/f.u.: 46
Final energy in eV/atom: -7.199

---

3.
## AcLaTb3Sm (GGA-PBE)

Data for a geometry-optimized AcLaTb3Sm structure.

```
AcLaTb3Sm
1.0
10.293 -2.884 0.000
10.293 2.884 0.000
-0.013 0.000 7.233
Ac La Tb Sm
2 2 6 2
direct
0.146 0.146 0.034
0.854 0.854 0.966
0.446 0.446 0.724
0.554 0.554 0.276
0.021 0.021 0.735
0.281 0.281 0.745
0.332 0.332 0.263
0.668 0.668 0.737
0.719 0.719 0.255
0.979 0.979 0.265
0.149 0.149 0.478
0.851 0.851 0.522
```

Total moment in Bohr magnetons per cell: 0.0
Theoretical density in g/cm3: 7.68
Symmetry: C2/m, No. 12
Calculated formation energy in eV per atom: 0.20
V in Å³/f.u.: 215
Final energy in eV/atom: -4.405

---

4.
## ScRh2W (GGA-PBE)

Data for a geometry-optimized ScRh2W structure.

```
ScRh2W
1.0
2.871 0.000 0.000
0.000 4.298 0.000
0.000 0.000 5.299
Sc Rh W
1 2 1
direct
0.000 0.000 0.000
0.000 0.000 0.497
0.500 0.500 0.842
0.500 0.500 0.337
```

Total moment in Bohr magnetons per cell: 0.0
Theoretical density in g/cm3: 11.04
Offset from the most stable computed form in kJ/mol of atoms: 20.71
Symmetry: Pmm2, No. 25
Calculated formation energy in eV per atom: -0.23
V in Å³/f.u.: 65
Final energy in eV/atom: -8.722

---

5.
## Ba2US6 (GGA-PBE)

Data for a geometry-optimized Ba2US6 structure.

```
Ba2US6
1.0
6.876 0.000 0.000
0.000 6.876 0.000
0.000 0.000 13.457
Ba U S
4 2 12
direct
0.000 0.000 0.171
0.000 0.000 0.829
0.500 0.500 0.329
0.500 0.500 0.671
0.000 0.000 0.500
0.500 0.500 0.000
0.180 0.180 0.363
0.180 0.180 0.637
0.240 0.240 0.000
0.260 0.740 0.500
0.320 0.680 0.137
0.320 0.680 0.863
0.680 0.320 0.137
0.680 0.320 0.863
0.740 0.260 0.500
0.760 0.760 0.000
0.820 0.820 0.363
0.820 0.820 0.637
```

Total moment in Bohr magnetons per cell: 3.9
Theoretical density in g/cm3: 3.68
Offset from the most stable computed form in kJ/mol of atoms: 23.98
Symmetry: P4_2/mnm, No. 136
V in Å³/f.u.: 318
Final energy in eV/atom: -5.631

---

6.
## Tm6Tl2N (GGA-PBE)

Data for a geometry-optimized Tm6Tl2N structure.

```
Tm6Tl2N
1.0
3.486 0.000 0.000
0.000 7.417 4.480
0.000 -7.417 4.480
Tm Tl N
6 2 1
direct
0.000 0.000 0.000
0.000 0.531 0.743
0.000 0.743 0.531
0.500 0.166 0.761
0.500 0.342 0.342
0.500 0.761 0.166
0.000 0.085 0.427
0.000 0.427 0.085
0.500 0.589 0.589
```

Total moment in Bohr magnetons per cell: 0.0
Theoretical density in g/cm3: 10.29
Offset from the most stable computed form in kJ/mol of atoms: 14.73
Symmetry: Amm2, No. 38
V in Å³/f.u.: 232
Final energy in eV/atom: -4.843